<w>
TlRe2P after structural relaxation. Source: the Alexandria database, functional PBE.

Output
Total moment: 0.0 μB/cell

Cell: 2.9374 2.9374 26.2726 Å, 90.00 90.00 120.00°
Space group R-3m (No. 166, hexagonal axes)
Symmetry-distinct sites (fractional):
1 Tl 0.0000 0.0000 0.0000 x3
2 Re 0.0000 0.0000 0.2342 x6
3 P 0.0000 0.0000 0.5000 x3


<x>
TlRe2P after structural relaxation. Source: the Alexandria database, functional PBE.

Output
Total moment: 0.0 μB/cell

Cell: 2.992 3.260 14.255 Å, 90.00 90.00 90.00°
Space group Imm2 (No. 44)
Symmetry-distinct sites (fractional):
1 Tl 0.000 0.000 0.000 x2
2 Re 0.000 0.000 0.356 x2
3 Re 0.000 0.500 0.679 x2
4 P 0.000 0.500 0.241 x2


Result of the stability comparison: <x> is the most stable of them.


<w>
TlRe2P after structural relaxation. Source: the Alexandria database, functional PBE.

Output
Total moment: 0.0 μB/cell

Cell: 6.436 6.436 6.436 Å, 90.00 90.00 90.00°
Space group F-43m (No. 216)
Symmetry-distinct sites (fractional):
1 Tl 0.000 0.000 0.000 x4
2 Re 0.000 0.000 0.500 x4
3 Re 0.250 0.250 0.250 x4
4 P 0.250 0.250 0.750 x4


<x>
TlRe2P after structural relaxation. Source: the Alexandria database, functional PBE.

Output
Total moment: 0.0 μB/cell

Cell: 2.936 5.077 8.871 Å, 90.00 90.00 90.00°
Space group Immm (No. 71)
Symmetry-distinct sites (fractional):
1 Tl 0.000 0.000 0.000 x2
2 Re 0.000 0.500 0.211 x4
3 P 0.000 0.000 0.500 x2


Result of the stability comparison: <x> is the most stable of them.


<w>
TlRe2P after structural relaxation. Source: the Alexandria database, functional PBE.

Output
Total moment: 0.0 μB/cell

Cell: 3.0076 3.0076 26.3619 Å, 90.00 90.00 120.00°
Space group R3m (No. 160, hexagonal axes)
Symmetry-distinct sites (fractional):
1 Tl 0.0000 0.0000 0.0000 x3
2 Re 0.0000 0.0000 0.5063 x3
3 Re 0.0000 0.0000 0.7603 x3
4 P 0.0000 0.0000 0.2354 x3


<x>
TlRe2P after structural relaxation. Source: the Alexandria database, functional PBE.

Output
Total moment: 0.0 μB/cell

Cell: 2.993 4.413 5.568 Å, 90.00 105.53 90.00°
Space group Pm (No. 6)
Symmetry-distinct sites (fractional):
1 Tl 0.000 0.000 0.000 x1
2 Re 0.324 0.500 0.654 x1
3 Re 0.738 0.000 0.482 x1
4 P 0.654 0.500 0.312 x1


Result of the stability comparison: <w> is the most stable of them.